Li4Ag5Au | PBE | optimized geometry

The formation enthalpy at 0 K comes out at -104 meV per atom. The energy above the most stable polymorph in this dataset is 130.6 meV per atom.

It has space group I4 (No. 79), with a = 8.1535 Å, b = 8.1535 Å, c = 5.2856 Å, α = 90.00°, β = 90.00° and γ = 90.00°. Symmetry generates all atoms from Li at (0.1269, 0.7600, 0.0000), Ag at (0.0000, 0.0000, 0.2655), Ag at (0.0484, 0.6680, 0.5037) and Au at (0.0000, 0.0000, 0.7531).